1.
A relaxed CaHg2W crystal, computed with PBE.

Cell: 5.0429 5.0429 5.0429 Å, 60.00 60.00 60.00°
With the nearest neighbours (Å) after each atom.
Positions (direct):
Ca 0.0000 0.0000 0.0000  4 Hg 3.09, 4 W 3.09
Hg 0.5000 0.5000 0.5000  4 Hg 3.09, 4 W 3.09
Hg 0.7500 0.7500 0.7500  4 Ca 3.09, 4 Hg 3.09
W 0.2500 0.2500 0.2500  4 Hg 3.09, 4 Ca 3.09

* space group: F-43m (216)
* energy above the lowest structure with this stoichiometry: 409.4 meV/atom
* total magnetic moment: 3.6 μB per formula unit
* DOS(E_F): 2.34 states/eV/cell
* energy relative to the elements: 319.1 kJ/mol of formula units

***

2.
A relaxed Ca2HgW crystal, computed with PBE.

Cell: 10.8993 10.8993 10.8993 Å, 17.25 17.25 17.25°
With the nearest neighbours (Å) after each atom.
Positions (direct):
Ca 0.0000 0.0000 0.0000  3 W 3.09, 6 Ca 3.27
Ca 0.2268 0.2268 0.2268  3 Hg 3.15, 6 Ca 3.27
Hg 0.4819 0.4819 0.4819  3 W 3.00, 3 Ca 3.15, 6 Hg 3.27
W 0.7427 0.7427 0.7427  3 Hg 3.00, 3 Ca 3.09, 6 W 3.27

* space group: R3m (160)
* total magnetic moment: 0.0 μB per formula unit
* DOS(E_F): 2.96 states/eV/cell
* energy relative to the elements: 265.5 kJ/mol of formula units

***

3.
A relaxed CaHgW crystal, computed with PBE.

Cell: 3.0893 3.0893 7.7177 Å, 90.00 90.00 120.00°
With the nearest neighbours (Å) after each atom.
Positions (direct):
Ca 0.0000 0.0000 0.0000  6 Ca 3.09, 3 W 3.10, 3 Hg 3.25
Hg 0.3333 0.6667 0.3522  3 W 3.04, 6 Hg 3.09, 3 Ca 3.25
W 0.6667 0.3333 0.6713  3 Hg 3.04, 6 W 3.09, 3 Ca 3.10

* space group: P3m1 (156)
* energy above the lowest structure with this stoichiometry: 134.0 meV/atom
* total magnetic moment: 0.0 μB per formula unit
* DOS(E_F): 2.84 states/eV/cell
* energy relative to the elements: 211.6 kJ/mol of formula units

***

4.
A relaxed Ca3HgW crystal, computed with PBE.

Cell: 5.5452 5.5452 5.5452 Å, 90.00 90.00 90.00°
With the nearest neighbours (Å) after each atom.
Positions (direct):
Ca 0.0000 0.0000 0.5000  2 W 2.77
Ca 0.0000 0.5000 0.0000  2 W 2.77
Ca 0.5000 0.0000 0.0000  2 W 2.77
Hg 0.5000 0.5000 0.5000  12 Ca 3.92
W 0.0000 0.0000 0.0000  6 Ca 2.77

* space group: Pm-3m (221)
* energy above the lowest structure with this stoichiometry: 0.0 meV/atom
* total magnetic moment: 0.0 μB per formula unit
* DOS(E_F): 4.11 states/eV/cell
* energy relative to the elements: 418.4 kJ/mol of formula units

***

> Among the records above, which one has the highest total magnetic moment?

CaHg2W